First-principles (PBE) data for crystalline CsTa3Pd at its relaxed geometry, as listed in Alexandria via LeMat-Bulk.

Structure (CIF):
```
data_CsTa3Pd
_symmetry_space_group_name_H-M 'P m -3 m'
_symmetry_Int_Tables_number 221
_symmetry_space_group_name_Hall '-P 4 2 3'
_cell_length_a 4.981
_cell_length_b 4.981
_cell_length_c 4.981
_cell_angle_alpha 90.00
_cell_angle_beta 90.00
_cell_angle_gamma 90.00
loop_
_atom_site_label
_atom_site_type_symbol
_atom_site_fract_x
_atom_site_fract_y
_atom_site_fract_z
Cs1 Cs 0.000 0.000 0.000
Ta1 Ta 0.000 0.000 0.500
Pd1 Pd 0.500 0.500 0.500
```

Summary:
Fermi-level density of states in states/eV/cell: 11.72
Calculated formation energy in kJ/mol of formula units: 1546
Volume in Å³/atom: 24.71